# 1
First-principles (PBE-GGA) data for crystalline Na4AlZn2Ga at its relaxed geometry, as listed in the Open Quantum Materials Database.

Cell lengths 4.884, 4.884, 6.874 Å; angles 90.00, 90.00, 90.00 degrees
Positions (direct):
Al: 0.000 0.000 0.000
Ga: 0.500 0.500 0.500
Na: 0.500 0.500 0.000
Na: 0.500 0.000 0.256
Na: 0.000 0.000 0.500
Na: 0.000 0.500 0.744
Zn: 0.000 0.500 0.246
Zn: 0.500 0.000 0.754

Calculated values
- Total DFT energy (no corrections): -14.10 eV per cell

# 2
First-principles (PBE-GGA) data for crystalline Nb2AlGaPt2 at its relaxed geometry, as listed in the Open Quantum Materials Database.

Cell lengths 10.515, 4.292, 10.516 Å; angles 90.00, 109.47, 90.00 degrees
Positions (direct):
Al: 0.751 0.000 0.000
Al: 0.125 0.500 0.126
Al: 0.499 0.000 0.250
Al: 0.250 0.000 0.499
Ga: 0.875 0.500 0.374
Ga: 0.625 0.500 0.625
Ga: 0.000 0.000 0.751
Ga: 0.376 0.500 0.875
Nb: 0.624 0.500 0.125
Nb: 0.999 0.000 0.251
Nb: 0.376 0.500 0.376
Nb: 0.750 0.000 0.500
Nb: 0.124 0.500 0.625
Nb: 0.500 0.000 0.750
Nb: 0.875 0.500 0.874
Nb: 0.250 0.000 0.998
Pt: 0.000 0.000 0.003
Pt: 0.374 0.500 0.126
Pt: 0.747 0.000 0.248
Pt: 0.127 0.500 0.375
Pt: 0.499 0.000 0.499
Pt: 0.875 0.500 0.624
Pt: 0.250 0.000 0.747
Pt: 0.628 0.500 0.877

Calculated values
- Total DFT energy (no corrections): -171.74 eV per cell

# 3
First-principles (PBE-GGA) data for crystalline TmNb2AlGa3 at its relaxed geometry, as listed in the Open Quantum Materials Database.

Cell lengths 6.754, 5.524, 5.535 Å; angles 75.28, 52.29, 52.43 degrees
Positions (direct):
Al: 0.695 0.695 0.305
Ga: 0.304 0.696 0.304
Ga: 0.696 0.304 0.696
Ga: 0.304 0.304 0.696
Nb: 0.250 0.250 0.250
Nb: 0.750 0.750 0.750
Tm: 0.001 0.001 0.999

Calculated values
- Total DFT energy (no corrections): -40.68 eV per cell

# 4
First-principles (PBE-GGA) data for crystalline TmNb2Al2Ga2 at its relaxed geometry, as listed in the Open Quantum Materials Database.

Cell lengths 6.780, 5.550, 5.522 Å; angles 75.51, 52.43, 52.06 degrees
Positions (direct):
Al: 0.305 0.695 0.305
Al: 0.695 0.305 0.695
Ga: 0.696 0.696 0.304
Ga: 0.304 0.304 0.696
Nb: 0.250 0.250 0.250
Nb: 0.750 0.750 0.750
Tm: 0.000 0.000 0.000

Calculated values
- Relative energy among the computed polymorphs: 0.0 meV per atom

> What is the formula in the third record?

TmNb2AlGa3

> What is the formula in the fourth record?

TmNb2Al2Ga2